Entry 1:
Compound: Cs2SrP2
Source: the Alexandria database
Functional: PBE-GGA
Structure: relaxed

Properties
Polymorph energy (0 for the lowest one)   0.0000 eV per atom
Formation energy   -0.36 eV/atom
Symmetry   P4/mbm (127)
Density   3.9 g cm⁻³

Cell: 7.738 7.738 5.950 Å, 90.00 90.00 90.00°
Sites, in units of the cell vectors:
Cs (0.170, 0.670, 0.500)
Cs (0.670, 0.830, 0.500)
Cs (0.830, 0.330, 0.500)
Cs (0.330, 0.170, 0.500)
Sr (0.000, 0.000, 0.000)
Sr (0.500, 0.500, 0.000)
P (0.398, 0.898, 0.000)
P (0.898, 0.602, 0.000)
P (0.602, 0.102, 0.000)
P (0.102, 0.398, 0.000)

Entry 2:
Compound: MgBe2Al
Source: the Alexandria database
Functional: PBE-GGA
Structure: relaxed

Properties
Polymorph energy (0 for the lowest one)   0.2459 eV per atom
Formation energy   0.29 eV/atom
Symmetry   Cm (8)
Density   2.1 g cm⁻³

Cell: 4.920 4.920 4.498 Å, 74.70 74.70 31.22°
Sites, in units of the cell vectors:
Be (0.970, 0.970, 0.981)
Be (0.284, 0.284, 0.258)
Mg (0.520, 0.520, 0.452)
Al (0.726, 0.726, 0.810)

Entry 3:
Compound: La2TaSi
Source: the Alexandria database
Functional: PBE-GGA
Structure: relaxed

Properties
Symmetry   F-43m (216)
Energy   -26.0 eV per formula unit
Density   8.7 g cm⁻³

Cell: 5.087 5.087 5.087 Å, 60.00 60.00 60.00°
Sites, in units of the cell vectors:
La (0.000, 0.000, 0.000)
La (0.250, 0.250, 0.250)
Si (0.500, 0.500, 0.500)
Ta (0.750, 0.750, 0.750)